# PBE CdReSCl2, relaxed
data_CdReSCl2
_cell_length_a 4.9641
_cell_length_b 4.9641
_cell_length_c 4.5264
_cell_angle_alpha 90.00
_cell_angle_beta 90.00
_cell_angle_gamma 90.00
_space_group_name_H-M_alt 'P 1'
_space_group_IT_number 1
loop_
_space_group_symop_operation_xyz
'x,y,z'
loop_
_atom_site_label
_atom_site_type_symbol
_atom_site_fract_x
_atom_site_fract_y
_atom_site_fract_z
Cl1 Cl 0.5000 0.0000 0.0000
Re1 Re 0.0000 0.0000 0.0000
Cd1 Cd 0.5000 0.5000 0.5000
Cl2 Cl 0.0000 0.5000 0.0000
S1 S 0.0000 0.0000 0.5000
# Excess energy over the best structure of this formula in the dataset = 0.000 eV per atom
# Fermi-level density of states = 2.95 states/eV/f.u.
# Space group = P4/mmm, No. 123
# Uncorrected formation energy = 0.08 eV/atom
# ρ = 6.0 g cm⁻³